No. 1
Density functional theory data (PBE) for LaSm4Hg2 after structural relaxation.

abc: 16.553 5.456 9.979
angles: 90.00 105.22 90.00
Space group C2/m (No. 12)
One atom of each set of equivalent atoms:
La (0.099, 0.000, 0.072) [4 per cell]
Sm (0.034, 0.000, 0.685) [4 per cell]
Sm (0.136, 0.500, 0.339) [4 per cell]
Sm (0.193, 0.500, 0.698) [4 per cell]
Sm (0.239, 0.500, 0.084) [4 per cell]
Hg (0.045, 0.500, 0.869) [4 per cell]
Hg (0.167, 0.000, 0.505) [4 per cell]

energy of formation	-0.180	eV/atom
electronic total energy	-3.6669	eV per atom
energy relative to the lowest polymorph listed for this composition	0	meV/atom
density of states at the Fermi level	31.17	states/eV/cell

=====

No. 2
Density functional theory data (PBE) for HfGaGe2 after structural relaxation.

abc: 4.383 4.383 3.768
angles: 90.00 90.00 90.00
Space group P4/mmm (No. 123)
One atom of each set of equivalent atoms:
Hf (0.000, 0.000, 0.000) [1 per cell]
Ga (0.500, 0.500, 0.000) [1 per cell]
Ge (0.000, 0.500, 0.500) [2 per cell]

energy of formation	-0.170	eV/atom
electronic total energy	-5.7242	eV per atom
energy relative to the lowest polymorph listed for this composition	0	meV/atom
density of states at the Fermi level	2.00	states/eV/cell

=====

No. 3
Density functional theory data (PBE) for P2HIrAu after structural relaxation.

abc: 3.813 4.715 4.780
angles: 74.70 89.05 89.70
Space group P1 (No. 1)
One atom of each set of equivalent atoms:
P (0.000, 0.000, 0.000) [1 per cell]
P (0.011, 0.138, 0.399) [1 per cell]
H (0.466, 0.673, 0.739) [1 per cell]
Ir (0.498, 0.030, 0.710) [1 per cell]
Au (0.775, 0.599, 0.419) [1 per cell]

electronic total energy	-5.3038	eV per atom
energy relative to the lowest polymorph listed for this composition	68	meV/atom
density of states at the Fermi level	1.43	states/eV/cell

=====

No. 4
Density functional theory data (PBE) for ScZn2F8 after structural relaxation.

abc: 3.222 5.215 9.834
angles: 100.00 92.20 105.68
Space group P-1 (No. 2)
One atom of each set of equivalent atoms:
Sc (0.000, 0.000, 0.000) [1 per cell]
Zn (0.295, 0.519, 0.355) [2 per cell]
F (0.101, 0.284, 0.687) [2 per cell]
F (0.126, 0.243, 0.190) [2 per cell]
F (0.365, 0.695, 0.558) [2 per cell]
F (0.415, 0.791, 0.056) [2 per cell]

electronic total energy	-4.7775	eV per atom
energy relative to the lowest polymorph listed for this composition	0	meV/atom
formation energy from raw total energies	-2.61	eV per atom
density of states at the Fermi level	4.32	states/eV/cell

=====

No. 5
Density functional theory data (PBE) for LaRu after structural relaxation.

abc: 4.6496 4.6496 5.7702
angles: 90.00 90.00 120.00
Space group P6_3mc (No. 186)
One atom of each set of equivalent atoms:
La (0.3333, 0.6667, 0.0000) [2 per cell]
Ru (0.3333, 0.6667, 0.5503) [2 per cell]

energy of formation	0.525	eV/atom
electronic total energy	-6.5767	eV per atom
density of states at the Fermi level	3.22	states/eV/cell

=====

No. 6
Density functional theory data (PBE) for Cu2AsSe4 after structural relaxation.

abc: 6.226 6.226 4.791
angles: 90.00 90.00 90.00
Space group P-42m (No. 111)
One atom of each set of equivalent atoms:
Cu (0.000, 0.500, 0.000) [2 per cell]
As (0.000, 0.000, 0.000) [1 per cell]
Se (0.235, 0.235, 0.239) [4 per cell]

electronic total energy	-3.7746	eV per atom
energy relative to the lowest polymorph listed for this composition	119	meV/atom
formation energy from raw total energies	0.05	eV per atom
density of states at the Fermi level	7.31	states/eV/cell

=====

No. 7
Density functional theory data (PBE) for ScCrBiS2 after structural relaxation.

abc: 4.817 4.817 5.856
angles: 90.00 90.00 90.00
Space group P4/mmm (No. 123)
One atom of each set of equivalent atoms:
Sc (0.000, 0.000, 0.000) [1 per cell]
Cr (0.500, 0.500, 0.500) [1 per cell]
Bi (0.000, 0.000, 0.500) [1 per cell]
S (0.000, 0.500, 0.000) [2 per cell]

electronic total energy	-5.5492	eV per atom
formation energy from raw total energies	0.07	eV per atom
density of states at the Fermi level	4.94	states/eV/cell

=====

No. 8
Density functional theory data (PBE) for Bi3OsPd after structural relaxation.

abc: 5.269 5.269 5.269
angles: 90.00 90.00 90.00
Space group Pm-3m (No. 221)
One atom of each set of equivalent atoms:
Bi (0.000, 0.000, 0.500) [3 per cell]
Os (0.000, 0.000, 0.000) [1 per cell]
Pd (0.500, 0.500, 0.500) [1 per cell]

energy of formation	0.871	eV/atom
electronic total energy	-4.7424	eV per atom
energy relative to the lowest polymorph listed for this composition	0	meV/atom
density of states at the Fermi level	4.81	states/eV/cell

=====

No. 9
Density functional theory data (PBE) for TlVSeCl2 after structural relaxation.

abc: 4.998 4.998 4.914
angles: 90.00 90.00 90.00
Space group P4/mmm (No. 123)
One atom of each set of equivalent atoms:
Tl (0.000, 0.000, 0.000) [1 per cell]
V (0.500, 0.500, 0.500) [1 per cell]
Se (0.500, 0.500, 0.000) [1 per cell]
Cl (0.000, 0.500, 0.500) [2 per cell]

electronic total energy	-4.5229	eV per atom
energy relative to the lowest polymorph listed for this composition	0	meV/atom
formation energy from raw total energies	-0.79	eV per atom
density of states at the Fermi level	1.55	states/eV/cell

=====

No. 10
Density functional theory data (PBE) for KHg4Br after structural relaxation.

abc: 9.229 9.229 9.229
angles: 90.00 90.00 90.00
Space group F-43m (No. 216)
One atom of each set of equivalent atoms:
K (0.000, 0.000, 0.000) [4 per cell]
Hg (0.124, 0.124, 0.376) [16 per cell]
Br (0.250, 0.250, 0.750) [4 per cell]

electronic total energy	-1.0868	eV per atom
formation energy from raw total energies	-0.42	eV per atom

=====

No. 11
Density functional theory data (PBE) for NiTeCl after structural relaxation.

abc: 3.383 6.667 13.933
angles: 90.00 90.00 90.00
Space group Fmm2 (No. 42)
One atom of each set of equivalent atoms:
Ni (0.000, 0.000, 0.000) [4 per cell]
Te (0.000, 0.000, 0.625) [4 per cell]
Cl (0.000, 0.000, 0.393) [4 per cell]

electronic total energy	-3.8103	eV per atom
formation energy from raw total energies	-0.22	eV per atom
density of states at the Fermi level	8.79	states/eV/cell

=====

No. 12
Density functional theory data (PBE) for SmReO5 after structural relaxation.

abc: 9.118 6.491 7.620
angles: 90.00 114.72 90.00
Space group C2/c (No. 15)
One atom of each set of equivalent atoms:
Sm (0.000, 0.053, 0.250) [4 per cell]
Re (0.000, 0.500, 0.000) [4 per cell]
O (0.000, 0.432, 0.250) [4 per cell]
O (0.011, 0.214, 0.964) [8 per cell]
O (0.221, 0.484, 0.613) [8 per cell]

electronic total energy	-8.2253	eV per atom
formation energy from raw total energies	-2.23	eV per atom

=====

No. 13
Density functional theory data (PBE) for Pu3HfTl3Se8 after structural relaxation.

abc: 8.2781 8.2781 23.4266
angles: 90.00 90.00 120.00
Space group R-3m (No. 166, hexagonal axes)
One atom of each set of equivalent atoms:
Pu (0.0000, 0.5000, 0.0000) [9 per cell]
Hf (0.0000, 0.0000, 0.0000) [3 per cell]
Tl (0.0000, 0.5000, 0.5000) [9 per cell]
Se (0.0000, 0.0000, 0.2651) [6 per cell]
Se (0.0206, 0.5103, 0.7322) [18 per cell]

electronic total energy	-7.0135	eV per atom
formation energy from raw total energies	-1.15	eV per atom
density of states at the Fermi level	95.27	states/eV/cell

=====

No. 14
Density functional theory data (PBE) for ZnHgW2 after structural relaxation.

abc: 6.416 6.416 6.416
angles: 90.00 90.00 90.00
Space group Fm-3m (No. 225)
One atom of each set of equivalent atoms:
Zn (0.000, 0.000, 0.000) [4 per cell]
Hg (0.000, 0.000, 0.500) [4 per cell]
W (0.250, 0.250, 0.250) [8 per cell]

energy of formation	0.977	eV/atom
electronic total energy	-5.8934	eV per atom
energy relative to the lowest polymorph listed for this composition	600	meV/atom
density of states at the Fermi level	18.37	states/eV/cell

=====

No. 15
Density functional theory data (PBE) for Pm3Sm8Ho4 after structural relaxation.

abc: 13.936 12.167 6.884
angles: 90.00 119.26 90.00
Space group C2/m (No. 12)
One atom of each set of equivalent atoms:
Pm (0.000, 0.000, 0.000) [2 per cell]
Pm (0.250, 0.250, 0.500) [4 per cell]
Sm (0.000, 0.204, 0.500) [4 per cell]
Sm (0.000, 0.252, 0.000) [4 per cell]
Sm (0.204, 0.000, 0.693) [4 per cell]
Sm (0.247, 0.500, 0.765) [4 per cell]
Ho (0.000, 0.500, 0.000) [2 per cell]
Ho (0.000, 0.500, 0.500) [2 per cell]
Ho (0.250, 0.250, 0.000) [4 per cell]

energy of formation	0.345	eV/atom
electronic total energy	-4.3427	eV per atom
density of states at the Fermi level	48.28	states/eV/cell

=====

No. 16
Density functional theory data (PBE) for Nd3SmMg8 after structural relaxation.

abc: 6.1488 6.1488 9.9590
angles: 90.00 90.00 120.00
Space group P3m1 (No. 156)
One atom of each set of equivalent atoms:
Nd (0.0000, 0.0000, 0.0000) [1 per cell]
Nd (0.0000, 0.0000, 0.3724) [1 per cell]
Nd (0.3333, 0.6667, 0.8706) [1 per cell]
Sm (0.3333, 0.6667, 0.4998) [1 per cell]
Mg (0.0071, 0.5035, 0.1863) [3 per cell]
Mg (0.3264, 0.1632, 0.6852) [3 per cell]
Mg (0.6667, 0.3333, 0.4357) [1 per cell]
Mg (0.6667, 0.3333, 0.9357) [1 per cell]

energy of formation	-0.091	eV/atom
electronic total energy	-2.7392	eV per atom
density of states at the Fermi level	15.07	states/eV/cell

=====

No. 17
Density functional theory data (PBE) for TbSm2Tm4Mg after structural relaxation.

abc: 4.925 4.935 10.035
angles: 90.00 90.00 90.00
Space group Pmmm (No. 47)
One atom of each set of equivalent atoms:
Tb (0.000, 0.000, 0.000) [1 per cell]
Sm (0.000, 0.000, 0.500) [1 per cell]
Sm (0.500, 0.500, 0.000) [1 per cell]
Tm (0.000, 0.500, 0.251) [2 per cell]
Tm (0.500, 0.000, 0.251) [2 per cell]
Mg (0.500, 0.500, 0.500) [1 per cell]

energy of formation	0.031	eV/atom
electronic total energy	-4.1625	eV per atom
density of states at the Fermi level	11.82	states/eV/cell

=====

No. 18
Density functional theory data (PBE) for KLiLa2 after structural relaxation.

abc: 4.914 4.914 12.882
angles: 90.00 90.00 90.00
Space group I4/mmm (No. 139)
One atom of each set of equivalent atoms:
K (0.000, 0.000, 0.000) [2 per cell]
Li (0.000, 0.000, 0.500) [2 per cell]
La (0.000, 0.500, 0.250) [4 per cell]

energy of formation	0.392	eV/atom
electronic total energy	-2.8250	eV per atom
energy relative to the lowest polymorph listed for this composition	228	meV/atom
density of states at the Fermi level	10.19	states/eV/cell

=====

No. 19
Density functional theory data (PBE) for Cs3CaDy2Te6 after structural relaxation.

abc: 7.916 13.710 9.365
angles: 90.00 106.36 90.00
Space group C2/m (No. 12)
One atom of each set of equivalent atoms:
Cs (0.000, 0.000, 0.000) [2 per cell]
Cs (0.000, 0.336, 0.000) [4 per cell]
Ca (0.000, 0.500, 0.500) [2 per cell]
Dy (0.000, 0.167, 0.500) [4 per cell]
Te (0.220, 0.000, 0.690) [4 per cell]
Te (0.236, 0.328, 0.692) [8 per cell]

electronic total energy	-4.0126	eV per atom
formation energy from raw total energies	-1.29	eV per atom
density of states at the Fermi level	16.80	states/eV/cell

=====

No. 20
Density functional theory data (PBE) for DyY6Er2 after structural relaxation.

abc: 12.790 14.237 6.533
angles: 90.00 103.57 90.00
Space group C2/c (No. 15)
One atom of each set of equivalent atoms:
Dy (0.000, 0.119, 0.250) [4 per cell]
Y (0.037, 0.315, 0.004) [8 per cell]
Y (0.136, 0.086, 0.812) [8 per cell]
Y (0.239, 0.302, 0.725) [8 per cell]
Er (0.139, 0.478, 0.368) [8 per cell]

energy of formation	0.102	eV/atom
electronic total energy	-5.7329	eV per atom
energy relative to the lowest polymorph listed for this composition	33	meV/atom
density of states at the Fermi level	47.54	states/eV/cell

=====

No. 21
Density functional theory data (PBE) for InOsBr2 after structural relaxation.

abc: 5.175 5.175 3.249
angles: 90.00 90.00 90.00
Space group P4/mmm (No. 123)
One atom of each set of equivalent atoms:
In (0.000, 0.000, 0.000) [1 per cell]
Os (0.500, 0.500, 0.000) [1 per cell]
Br (0.000, 0.500, 0.500) [2 per cell]

electronic total energy	-3.2561	eV per atom
energy relative to the lowest polymorph listed for this composition	891	meV/atom
formation energy from raw total energies	1.07	eV per atom
density of states at the Fermi level	3.61	states/eV/cell